Record 1
A relaxed structure of In2CuCl. Source: Alexandria, functional PBE.

The structure in POSCAR format:
```
In2CuCl
1.0
4.380 0.000 0.000
0.000 5.570 0.000
0.000 0.000 7.974
In Cu Cl
4 2 2
Cartesian
0.000 0.000 1.709
0.000 0.000 6.265
2.190 2.785 2.278
2.190 2.785 5.696
0.000 2.785 3.987
2.190 0.000 0.000
0.000 2.785 0.000
2.190 0.000 3.987
```

Computed properties:
The calculation puts the formation energy (no corrections) at -0.026 eV per atom. Its crystal system is orthorhombic. The energy above the lowest structure with this stoichiometry is 170 meV/atom.

Record 2
A relaxed structure of In2Cu2Cl. Source: Alexandria, functional PBE.

The structure in POSCAR format:
```
In2Cu2Cl
1.0
8.002 0.000 0.000
0.000 8.002 0.000
0.000 0.000 3.094
In Cu Cl
4 4 2
Cartesian
1.541 2.460 0.000
2.460 6.461 0.000
5.542 1.541 0.000
6.461 5.542 0.000
0.846 4.847 1.547
3.155 0.846 1.547
4.847 7.157 1.547
7.157 3.155 1.547
0.000 0.000 0.000
4.001 4.001 0.000
```

Computed properties:
The calculation puts the formation energy (no corrections) at -0.047 eV per atom. Its crystal system is tetragonal. The energy above the lowest structure with this stoichiometry is 0 meV/atom.

| no. | V (Å³ per atom) | calculated density (Mg/m³) |
| --- | --- | --- |
| 1 | 24.3 | 5.61 |
| 2 | 19.8 | 6.57 |